{
  "formula": "Ba3Sn2P4",
  "functional": "SCAN",
  "state": "PBEsol geometry",
  "lattice_angstrom": [[7.8668, 0.0000, 0.0000], [0.0000, 19.2224, 0.0000], [-3.0284, 0.0000, 7.2203]],
  "species": ["Ba", "Ba", "Ba", "Ba", "Ba", "Ba", "Ba", "Ba", "Ba", "Ba", "Ba", "Ba", "Sn", "Sn", "Sn", "Sn", "Sn", "Sn", "Sn", "Sn", "P", "P", "P", "P", "P", "P", "P", "P", "P", "P", "P", "P", "P", "P", "P", "P"],
  "fractional_positions": [[0.1833, 0.1949, 0.0513], [0.1833, 0.3051, 0.5513], [0.2336, 0.0621, 0.5470], [0.2336, 0.4379, 0.0470], [0.2952, 0.6881, 0.9308], [0.2952, 0.8119, 0.4308], [0.7048, 0.1881, 0.5692], [0.7048, 0.3119, 0.0692], [0.7664, 0.5621, 0.9530], [0.7664, 0.9379, 0.4530], [0.8167, 0.6949, 0.4487], [0.8167, 0.8051, 0.9487], [0.2279, 0.5056, 0.5551], [0.2279, 0.9944, 0.0551], [0.3533, 0.6212, 0.4127], [0.3533, 0.8788, 0.9127], [0.6467, 0.1212, 0.0873], [0.6467, 0.3788, 0.5873], [0.7721, 0.0056, 0.9449], [0.7721, 0.4944, 0.4449], [0.0258, 0.5573, 0.7121], [0.0258, 0.9427, 0.2121], [0.0667, 0.6801, 0.1980], [0.0667, 0.8199, 0.6980], [0.4421, 0.1907, 0.8144], [0.4421, 0.3093, 0.3144], [0.4711, 0.0719, 0.2835], [0.4711, 0.4281, 0.7835], [0.5289, 0.5719, 0.2165], [0.5289, 0.9281, 0.7165], [0.5579, 0.6907, 0.6856], [0.5579, 0.8093, 0.1856], [0.9333, 0.1801, 0.3020], [0.9333, 0.3199, 0.8020], [0.9742, 0.0573, 0.7879], [0.9742, 0.4427, 0.2879]],
  "e_form_mev_per_atom": -882
}

{
  "formula": "MoIr2",
  "functional": "SCAN",
  "state": "PBEsol geometry",
  "lattice_angstrom": [[0.0000, 3.5748, 3.5748], [3.5748, 0.0000, 3.5748], [3.5748, 3.5748, 0.0000]],
  "species": ["Mo", "Mo", "Ir", "Ir", "Ir", "Ir"],
  "fractional_positions": [[0.1250, 0.1250, 0.1250], [0.8750, 0.8750, 0.8750], [0.0000, 0.5000, 0.5000], [0.5000, 0.0000, 0.5000], [0.5000, 0.5000, 0.0000], [0.5000, 0.5000, 0.5000]],
  "n_ef_per_ev_cell": 8.36,
  "e_form_mev_per_atom": 204
}

{
  "formula": "SrMnCd",
  "functional": "SCAN",
  "state": "PBEsol geometry",
  "lattice_angstrom": [[-1.8200, 1.8200, 5.7141], [1.8200, -1.8200, 5.7141], [1.8200, 1.8200, -5.7141]],
  "species": ["Sr", "Mn", "Cd"],
  "fractional_positions": [[0.0000, 0.0000, 0.0000], [0.2969, 0.2969, 0.0000], [0.7028, 0.7028, 0.0000]],
  "n_ef_per_ev_cell": 1.78,
  "e_form_mev_per_atom": -27,
  "relative_energy_mev_per_atom": 16.8
}

{
  "formula": "Tc2RhBr",
  "functional": "SCAN",
  "state": "PBEsol geometry",
  "lattice_angstrom": [[2.8635, 0.0000, 0.0000], [0.0000, 2.8635, 0.0000], [0.0000, 0.0000, 7.3039]],
  "species": ["Tc", "Tc", "Rh", "Br"],
  "fractional_positions": [[0.0000, 0.0000, 0.0000], [0.5000, 0.5000, 0.2297], [0.5000, 0.5000, 0.7575], [0.0000, 0.0000, 0.4800]],
  "formation_energy_uncorrected_mev_per_atom": 464,
  "n_ef_per_ev_cell": 3.60,
  "relative_energy_mev_per_atom": 0.0
}

Repeat the second record exactly.
{
  "formula": "MoIr2",
  "functional": "SCAN",
  "state": "PBEsol geometry",
  "lattice_angstrom": [[0.0000, 3.5748, 3.5748], [3.5748, 0.0000, 3.5748], [3.5748, 3.5748, 0.0000]],
  "species": ["Mo", "Mo", "Ir", "Ir", "Ir", "Ir"],
  "fractional_positions": [[0.1250, 0.1250, 0.1250], [0.8750, 0.8750, 0.8750], [0.0000, 0.5000, 0.5000], [0.5000, 0.0000, 0.5000], [0.5000, 0.5000, 0.0000], [0.5000, 0.5000, 0.5000]],
  "n_ef_per_ev_cell": 8.36,
  "e_form_mev_per_atom": 204
}

Question: Number 3 is which compound?
Answer: SrMnCd

Question: Number 4 is which compound?
Answer: Tc2RhBr